[1]
A plane-wave DFT calculation with PBE was carried out for crystalline HfCd2Ni2 at its relaxed geometry.

Calculated values
energy of formation from the pure elements = 0.05 eV per atom
D(E_F) = 2.941 states/eV/f.u.

Lattice parameters (Å, degrees): 3.777 3.777 6.719 73.68 73.68 90.00
Fractional coordinates of all 5 atoms:
Ni 0.409 0.409 0.181
Ni 0.591 0.591 0.819
Cd 0.750 0.250 0.500
Cd 0.250 0.750 0.500
Hf 0.000 0.000 0.000

***

[2]
A plane-wave DFT calculation with PBE was carried out for crystalline HfCd2Ni2 at its relaxed geometry.

Calculated values
energy of formation from the pure elements = -0.05 eV per atom
D(E_F) = 1.986 states/eV/f.u.

Lattice parameters (Å, degrees): 6.572 6.572 3.974 90.00 90.00 90.00
Fractional coordinates of all 10 atoms:
Cd 0.669 0.831 0.500
Cd 0.331 0.169 0.500
Cd 0.169 0.669 0.500
Cd 0.831 0.331 0.500
Ni 0.129 0.371 0.000
Ni 0.371 0.871 0.000
Ni 0.871 0.629 0.000
Ni 0.629 0.129 0.000
Hf 0.500 0.500 0.000
Hf 0.000 0.000 0.000

***

[3]
A plane-wave DFT calculation with PBE was carried out for crystalline Hf2CdNi2 at its relaxed geometry.

Calculated values
energy of formation from the pure elements = -0.13 eV per atom
D(E_F) = 1.619 states/eV/f.u.

Lattice parameters (Å, degrees): 4.456 4.456 5.687 66.94 66.94 90.00
Fractional coordinates of all 5 atoms:
Ni 0.617 0.617 0.766
Ni 0.383 0.383 0.234
Cd 0.000 0.000 0.000
Hf 0.250 0.750 0.500
Hf 0.750 0.250 0.500

***

[4]
A plane-wave DFT calculation with PBE was carried out for crystalline Hf3CdNi at its relaxed geometry.

Calculated values
energy of formation from the pure elements = 0.20 eV per atom
D(E_F) = 5.864 states/eV/f.u.

Lattice parameters (Å, degrees): 4.818 4.818 4.818 90.00 90.00 90.00
Fractional coordinates of all 5 atoms:
Hf 0.500 0.000 0.000
Hf 0.000 0.500 0.000
Hf 0.000 0.000 0.500
Cd 0.500 0.500 0.500
Ni 0.000 0.000 0.000